Arrangement A

Below is a geometry-optimized Rb2TlAgBr6 structure, with properties calculated at the PBE-GGA level.

a b c (Å): 7.934 7.934 7.934
angles (deg): 60.00 60.00 60.00
Atoms (fractional coordinates):
Rb 0.250 0.250 0.250
Rb 0.750 0.750 0.750
Tl 0.000 0.000 0.000
Ag 0.500 0.500 0.500
Br 0.253 0.253 0.747
Br 0.253 0.747 0.253
Br 0.253 0.747 0.747
Br 0.747 0.253 0.253
Br 0.747 0.253 0.747
Br 0.747 0.747 0.253

Values from the calculation:
Its space-group type is Fm-3m, No. 225. The calculation puts the total magnetization at 0.0 μB per formula unit.

---

Arrangement B

Below is a geometry-optimized Rb2TlAgBr6 structure, with properties calculated at the PBE-GGA level.

a b c (Å): 7.635 8.042 13.563
angles (deg): 90.00 123.75 90.00
Atoms (fractional coordinates):
Rb 0.229 0.066 0.251
Rb 0.229 0.434 0.751
Rb 0.771 0.566 0.249
Rb 0.771 0.934 0.749
Tl 0.500 0.000 0.000
Tl 0.500 0.500 0.500
Ag 0.000 0.000 0.500
Ag 0.000 0.500 0.000
Br 0.171 0.199 0.968
Br 0.171 0.301 0.468
Br 0.261 0.695 0.971
Br 0.261 0.805 0.471
Br 0.314 0.502 0.254
Br 0.314 0.998 0.754
Br 0.686 0.002 0.246
Br 0.686 0.498 0.746
Br 0.739 0.195 0.529
Br 0.739 0.305 0.029
Br 0.829 0.699 0.532
Br 0.829 0.801 0.032

Values from the calculation:
Its space-group type is P2_1/c, No. 14. The calculation puts the total magnetization at 0.0 μB per formula unit.

---

Relative energies in meV/atom: arrangement A 14; arrangement B 0

---

Arrangement A

Below is a geometry-optimized Rb2VAgBr structure, with properties calculated at the PBE-GGA level.

a b c (Å): 6.955 6.955 4.891
angles (deg): 90.00 90.00 90.00
Atoms (fractional coordinates):
Rb 0.000 0.500 0.000
Rb 0.500 0.000 0.000
V 0.000 0.000 0.000
Ag 0.500 0.500 0.500
Br 0.000 0.000 0.500

Values from the calculation:
Its space-group type is P4/mmm, No. 123. The calculation puts the total magnetization at 4.5 μB per formula unit.

---

Arrangement B

Below is a geometry-optimized Rb2VAgBr structure, with properties calculated at the PBE-GGA level.

a b c (Å): 6.690 6.690 5.199
angles (deg): 90.00 90.00 90.00
Atoms (fractional coordinates):
Rb 0.000 0.500 0.000
Rb 0.500 0.000 0.000
V 0.000 0.000 0.500
Ag 0.000 0.000 0.000
Br 0.500 0.500 0.500

Values from the calculation:
Its space-group type is P4/mmm, No. 123. The calculation puts the total magnetization at 4.5 μB per formula unit.

---

Relative energies in meV/atom: arrangement A 76; arrangement B 0

---

Arrangement A

Below is a geometry-optimized Re2AgBr structure, with properties calculated at the PBE-GGA level.

a b c (Å): 5.418 9.025 2.803
angles (deg): 90.00 90.00 90.00
Atoms (fractional coordinates):
Re 0.250 0.250 0.000
Re 0.250 0.750 0.000
Re 0.750 0.250 0.000
Re 0.750 0.750 0.000
Ag 0.000 0.000 0.500
Ag 0.500 0.500 0.500
Br 0.000 0.500 0.500
Br 0.500 0.000 0.500

Values from the calculation:
Its space-group type is Cmmm, No. 65. The calculation puts the total magnetization at 0.0 μB per formula unit.

---

Arrangement B

Below is a geometry-optimized Re2AgBr structure, with properties calculated at the PBE-GGA level.

a b c (Å): 10.602 4.513 2.990
angles (deg): 90.00 99.57 90.00
Atoms (fractional coordinates):
Re 0.220 0.000 0.156
Re 0.280 0.500 0.844
Re 0.720 0.500 0.156
Re 0.780 0.000 0.844
Ag 0.000 0.500 0.000
Ag 0.500 0.000 0.000
Br 0.000 0.000 0.500
Br 0.500 0.500 0.500

Values from the calculation:
Its space-group type is C2/m, No. 12. The calculation puts the total magnetization at 0.0 μB per formula unit.

---

Arrangement C

Below is a geometry-optimized Re2AgBr structure, with properties calculated at the PBE-GGA level.

a b c (Å): 3.602 3.602 7.215
angles (deg): 90.00 90.00 90.00
Atoms (fractional coordinates):
Re 0.000 0.500 0.000
Re 0.500 0.000 0.000
Ag 0.000 0.000 0.500
Br 0.500 0.500 0.500

Values from the calculation:
Its space-group type is P4/mmm, No. 123. The calculation puts the total magnetization at 0.7 μB per formula unit.

---

Arrangement D

Below is a geometry-optimized Re2AgBr structure, with properties calculated at the PBE-GGA level.

a b c (Å): 3.000 3.000 8.270
angles (deg): 90.00 90.00 90.00
Atoms (fractional coordinates):
Re 0.000 0.000 0.000
Re 0.500 0.500 0.179
Ag 0.000 0.000 0.434
Br 0.500 0.500 0.756

Values from the calculation:
Its space-group type is P4mm, No. 99. The calculation puts the total magnetization at 0.0 μB per formula unit.

---

Relative energies in meV/atom: arrangement A 975; arrangement B 579; arrangement C 900; arrangement D 0

---

Arrangement A

Below is a geometry-optimized Re2AgBr structure, with properties calculated at the PBE-GGA level.

a b c (Å): 3.086 3.036 8.184
angles (deg): 90.00 100.17 90.00
Atoms (fractional coordinates):
Re 0.000 0.000 0.000
Re 0.419 0.500 0.827
Ag 0.797 0.000 0.569
Br 0.126 0.500 0.267

Values from the calculation:
Its space-group type is Pm, No. 6. The calculation puts the total magnetization at 0.0 μB per formula unit.

---

Arrangement B

Below is a geometry-optimized Re2AgBr structure, with properties calculated at the PBE-GGA level.

a b c (Å): 6.153 3.350 8.504
angles (deg): 90.00 107.35 90.00
Atoms (fractional coordinates):
Re 0.000 0.000 0.000
Re 0.246 0.000 0.834
Re 0.500 0.500 0.000
Re 0.746 0.500 0.834
Ag 0.472 0.000 0.572
Ag 0.972 0.500 0.572
Br 0.147 0.500 0.273
Br 0.647 0.000 0.273

Values from the calculation:
Its space-group type is Cm, No. 8. The calculation puts the total magnetization at 0.0 μB per formula unit.

---

Arrangement C

Below is a geometry-optimized Re2AgBr structure, with properties calculated at the PBE-GGA level.

a b c (Å): 2.902 2.902 27.104
angles (deg): 90.00 90.00 120.00
Atoms (fractional coordinates):
Re 0.000 0.000 0.247
Re 0.000 0.000 0.753
Re 0.333 0.667 0.420
Re 0.333 0.667 0.913
Re 0.667 0.333 0.087
Re 0.667 0.333 0.580
Ag 0.000 0.000 0.000
Ag 0.333 0.667 0.667
Ag 0.667 0.333 0.333
Br 0.000 0.000 0.500
Br 0.333 0.667 0.167
Br 0.667 0.333 0.833

Values from the calculation:
Its space-group type is R-3m, No. 166. The calculation puts the total magnetization at 0.0 μB per formula unit.

---

Relative energies in meV/atom: arrangement A 0; arrangement B 100; arrangement C 699

---

Arrangement A

Below is a geometry-optimized Re2AgBr structure, with properties calculated at the PBE-GGA level.

a b c (Å): 9.574 2.887 4.932
angles (deg): 90.00 101.27 90.00
Atoms (fractional coordinates):
Re 0.247 0.000 0.255
Re 0.253 0.500 0.745
Re 0.747 0.500 0.255
Re 0.753 0.000 0.745
Ag 0.000 0.000 0.500
Ag 0.500 0.500 0.500
Br 0.000 0.500 0.000
Br 0.500 0.000 0.000

Values from the calculation:
Its space-group type is C2/m, No. 12. The calculation puts the total magnetization at 0.0 μB per formula unit.

---

Arrangement B

Below is a geometry-optimized Re2AgBr structure, with properties calculated at the PBE-GGA level.

a b c (Å): 6.366 6.366 6.366
angles (deg): 90.00 90.00 90.00
Atoms (fractional coordinates):
Re 0.250 0.250 0.250
Re 0.250 0.250 0.750
Re 0.250 0.750 0.250
Re 0.250 0.750 0.750
Re 0.750 0.250 0.250
Re 0.750 0.250 0.750
Re 0.750 0.750 0.250
Re 0.750 0.750 0.750
Ag 0.000 0.000 0.000
Ag 0.000 0.500 0.500
Ag 0.500 0.000 0.500
Ag 0.500 0.500 0.000
Br 0.000 0.000 0.500
Br 0.000 0.500 0.000
Br 0.500 0.000 0.000
Br 0.500 0.500 0.500

Values from the calculation:
Its space-group type is Fm-3m, No. 225. The calculation puts the total magnetization at 0.0 μB per formula unit.

---

Arrangement C

Below is a geometry-optimized Re2AgBr structure, with properties calculated at the PBE-GGA level.

a b c (Å): 2.938 4.861 10.064
angles (deg): 90.00 90.00 90.00
Atoms (fractional coordinates):
Re 0.000 0.000 0.000
Re 0.000 0.500 0.206
Re 0.500 0.000 0.206
Re 0.500 0.500 0.000
Ag 0.000 0.500 0.750
Ag 0.500 0.000 0.750
Br 0.000 0.000 0.468
Br 0.500 0.500 0.468

Values from the calculation:
Its space-group type is Cmm2, No. 35. The calculation puts the total magnetization at 0.0 μB per formula unit.

---

Relative energies in meV/atom: arrangement A 501; arrangement B 889; arrangement C 0

---

Arrangement A

Below is a geometry-optimized ReAgBr6 structure, with properties calculated at the PBE-GGA level.

a b c (Å): 6.990 11.992 6.858
angles (deg): 90.00 112.91 90.00
Atoms (fractional coordinates):
Re 0.000 0.000 0.000
Re 0.500 0.500 0.000
Ag 0.000 0.500 0.500
Ag 0.500 0.000 0.500
Br 0.218 0.000 0.790
Br 0.226 0.151 0.236
Br 0.226 0.849 0.236
Br 0.274 0.349 0.764
Br 0.274 0.651 0.764
Br 0.282 0.500 0.210
Br 0.718 0.500 0.790
Br 0.726 0.349 0.236
Br 0.726 0.651 0.236
Br 0.774 0.151 0.764
Br 0.774 0.849 0.764
Br 0.782 0.000 0.210

Values from the calculation:
Its space-group type is C2/m, No. 12. The calculation puts the total magnetization at 2.4 μB per formula unit.

---

Arrangement B

Below is a geometry-optimized ReAgBr6 structure, with properties calculated at the PBE-GGA level.

a b c (Å): 7.144 7.144 7.144
angles (deg): 55.45 55.45 55.45
Atoms (fractional coordinates):
Re 0.000 0.000 0.000
Ag 0.500 0.500 0.500
Br 0.060 0.397 0.780
Br 0.220 0.940 0.603
Br 0.397 0.780 0.060
Br 0.603 0.220 0.940
Br 0.780 0.060 0.397
Br 0.940 0.603 0.220

Values from the calculation:
Its space-group type is R-3, No. 148. The calculation puts the total magnetization at 2.0 μB per formula unit.

---

Relative energies in meV/atom: arrangement A 6; arrangement B 0

---

Arrangement A

Below is a geometry-optimized ReAgSeBr2 structure, with properties calculated at the PBE-GGA level.

a b c (Å): 5.114 5.114 5.396
angles (deg): 90.00 90.00 90.00
Atoms (fractional coordinates):
Re 0.000 0.000 0.000
Ag 0.500 0.500 0.500
Se 0.500 0.500 0.000
Br 0.000 0.500 0.500
Br 0.500 0.000 0.500

Values from the calculation:
Its space-group type is P4/mmm, No. 123. The calculation puts the total magnetization at 5.1 μB per formula unit.

---

Arrangement B

Below is a geometry-optimized ReAgSeBr2 structure, with properties calculated at the PBE-GGA level.

a b c (Å): 5.318 5.318 4.692
angles (deg): 90.00 90.00 90.00
Atoms (fractional coordinates):
Re 0.000 0.000 0.000
Ag 0.500 0.500 0.500
Se 0.000 0.000 0.500
Br 0.000 0.500 0.000
Br 0.500 0.000 0.000

Values from the calculation:
Its space-group type is P4/mmm, No. 123. The calculation puts the total magnetization at 0.8 μB per formula unit.

---

Relative energies in meV/atom: arrangement A 757; arrangement B 0

---

Arrangement A

Below is a geometry-optimized Ag2RhBr structure, with properties calculated at the PBE-GGA level.

a b c (Å): 5.457 8.840 3.092
angles (deg): 90.00 90.00 90.00
Atoms (fractional coordinates):
Ag 0.250 0.250 0.000
Ag 0.250 0.750 0.000
Ag 0.750 0.250 0.000
Ag 0.750 0.750 0.000
Rh 0.000 0.000 0.500
Rh 0.500 0.500 0.500
Br 0.000 0.500 0.500
Br 0.500 0.000 0.500

Values from the calculation:
Its space-group type is Cmmm, No. 65. The calculation puts the total magnetization at 0.4 μB per formula unit.

---

Arrangement B

Below is a geometry-optimized Ag2RhBr structure, with properties calculated at the PBE-GGA level.

a b c (Å): 9.120 3.174 6.407
angles (deg): 90.00 104.71 90.00
Atoms (fractional coordinates):
Ag 0.000 0.000 0.000
Ag 0.235 0.000 0.796
Ag 0.500 0.500 0.000
Ag 0.735 0.500 0.796
Rh 0.254 0.500 0.166
Rh 0.754 0.000 0.166
Br 0.364 0.000 0.448
Br 0.864 0.500 0.448

Values from the calculation:
Its space-group type is Cm, No. 8. The calculation puts the total magnetization at 0.0 μB per formula unit.

---

Arrangement C

Below is a geometry-optimized Ag2RhBr structure, with properties calculated at the PBE-GGA level.

a b c (Å): 3.014 3.014 28.664
angles (deg): 90.00 90.00 120.00
Atoms (fractional coordinates):
Ag 0.000 0.000 0.244
Ag 0.000 0.000 0.756
Ag 0.333 0.667 0.423
Ag 0.333 0.667 0.911
Ag 0.667 0.333 0.089
Ag 0.667 0.333 0.577
Rh 0.000 0.000 0.500
Rh 0.333 0.667 0.167
Rh 0.667 0.333 0.833
Br 0.000 0.000 0.000
Br 0.333 0.667 0.667
Br 0.667 0.333 0.333

Values from the calculation:
Its space-group type is R-3m, No. 166. The calculation puts the total magnetization at 0.7 μB per formula unit.

---

Relative energies in meV/atom: arrangement A 198; arrangement B 0; arrangement C 104

---

Arrangement A

Below is a geometry-optimized Ag3RhBr6 structure, with properties calculated at the PBE-GGA level.

a b c (Å): 7.026 6.988 12.532
angles (deg): 90.00 123.63 90.00
Atoms (fractional coordinates):
Ag 0.000 0.000 0.000
Ag 0.000 0.500 0.500
Ag 0.236 0.045 0.736
Ag 0.236 0.455 0.236
Ag 0.764 0.545 0.764
Ag 0.764 0.955 0.264
Rh 0.500 0.000 0.500
Rh 0.500 0.500 0.000
Br 0.162 0.081 0.278
Br 0.162 0.419 0.778
Br 0.248 0.671 0.054
Br 0.248 0.829 0.554
Br 0.422 0.197 0.080
Br 0.422 0.303 0.580
Br 0.578 0.697 0.420
Br 0.578 0.803 0.920
Br 0.752 0.171 0.446
Br 0.752 0.329 0.946
Br 0.838 0.581 0.222
Br 0.838 0.919 0.722

Values from the calculation:
Its space-group type is P2_1/c, No. 14. The calculation puts the total magnetization at 0.0 μB per formula unit.

---

Arrangement B

Below is a geometry-optimized Ag3RhBr6 structure, with properties calculated at the PBE-GGA level.

a b c (Å): 8.213 8.213 8.213
angles (deg): 88.99 88.99 88.99
Atoms (fractional coordinates):
Ag 0.049 0.594 0.735
Ag 0.265 0.951 0.406
Ag 0.406 0.265 0.951
Ag 0.594 0.735 0.049
Ag 0.735 0.049 0.594
Ag 0.951 0.406 0.265
Rh 0.000 0.000 0.000
Rh 0.500 0.500 0.500
Br 0.039 0.951 0.701
Br 0.049 0.299 0.961
Br 0.206 0.564 0.438
Br 0.299 0.961 0.049
Br 0.436 0.562 0.794
Br 0.438 0.206 0.564
Br 0.562 0.794 0.436
Br 0.564 0.438 0.206
Br 0.701 0.039 0.951
Br 0.794 0.436 0.562
Br 0.951 0.701 0.039
Br 0.961 0.049 0.299

Values from the calculation:
Its space-group type is R-3, No. 148. The calculation puts the total magnetization at 0.0 μB per formula unit.

---

Relative energies in meV/atom: arrangement A 21; arrangement B 0

---

Arrangement A

Below is a geometry-optimized AgRh2Br2 structure, with properties calculated at the PBE-GGA level.

a b c (Å): 4.997 4.997 8.242
angles (deg): 90.00 90.00 90.00
Atoms (fractional coordinates):
Ag 0.000 0.000 0.000
Ag 0.500 0.500 0.500
Rh 0.000 0.000 0.331
Rh 0.000 0.000 0.669
Rh 0.500 0.500 0.169
Rh 0.500 0.500 0.831
Br 0.000 0.500 0.250
Br 0.000 0.500 0.750
Br 0.500 0.000 0.250
Br 0.500 0.000 0.750

Values from the calculation:
Its space-group type is I4/mmm, No. 139. The calculation puts the total magnetization at 0.0 μB per formula unit.

---

Arrangement B

Below is a geometry-optimized AgRh2Br2 structure, with properties calculated at the PBE-GGA level.

a b c (Å): 7.267 7.267 3.583
angles (deg): 90.00 90.00 90.00
Atoms (fractional coordinates):
Ag 0.000 0.000 0.000
Ag 0.500 0.500 0.000
Rh 0.156 0.344 0.000
Rh 0.344 0.844 0.000
Rh 0.656 0.156 0.000
Rh 0.844 0.656 0.000
Br 0.167 0.667 0.500
Br 0.333 0.167 0.500
Br 0.667 0.833 0.500
Br 0.833 0.333 0.500

Values from the calculation:
Its space-group type is P4/mbm, No. 127. The calculation puts the total magnetization at 0.0 μB per formula unit.

---

Relative energies in meV/atom: arrangement A 0; arrangement B 14